Entry 1:
The following is a PBE calculation of crystalline Cu2HgPbF8 at its relaxed geometry, from the Alexandria database.

Unit cell a=5.6697 b=5.6697 c=6.7818 alpha=114.71 beta=114.71 gamma=90.00
Sites, in units of the cell vectors:
F 0.1624 0.5997 0.8961
F 0.0140 0.9375 0.6108
F 0.3267 0.9860 0.3892
Hg 0.0000 0.0000 0.0000
Cu 0.5000 0.5000 0.0000
Pb 0.7500 0.2500 0.5000
F 0.7336 0.2963 0.8961
F 0.7037 0.8376 0.1039
F 0.0625 0.4032 0.3892
F 0.5968 0.6733 0.6108
Cu 0.2500 0.7500 0.5000
F 0.4003 0.2664 0.1039

Values from the calculation:
Uncorrected formation energy: -1.668 eV per atom

Entry 2:
The following is a PBE calculation of crystalline CuHgPb2F at its relaxed geometry, from the Alexandria database.

Unit cell a=5.7032 b=4.5221 c=5.7032 alpha=90.00 beta=90.00 gamma=90.00
Sites, in units of the cell vectors:
Cu 0.5000 0.5000 0.5000
F 0.0000 0.5000 0.0000
Pb 0.5000 0.0000 0.0000
Hg 0.0000 0.0000 0.0000
Pb 0.0000 0.0000 0.5000

Values from the calculation:
Uncorrected formation energy: 0.212 eV per atom

Entry 3:
The following is a PBE calculation of crystalline CuHgPbF6 at its relaxed geometry, from the Alexandria database.

Unit cell a=6.9205 b=6.9205 c=6.6106 alpha=90.00 beta=90.00 gamma=120.00
Sites, in units of the cell vectors:
F 0.7102 0.6200 0.9455
F 0.0901 0.3800 0.4455
F 0.7102 0.0901 0.5545
Pb 0.0000 0.0000 0.5000
Hg 0.6667 0.3333 0.7500
F 0.3800 0.2898 0.5545
F 0.3800 0.0901 0.9455
F 0.9099 0.2898 0.9455
F 0.2898 0.3800 0.0545
F 0.9099 0.6200 0.5545
Hg 0.3333 0.6667 0.2500
F 0.6200 0.9099 0.0545
Pb 0.0000 0.0000 0.0000
Cu 0.6667 0.3333 0.2500
F 0.6200 0.7102 0.4455
Cu 0.3333 0.6667 0.7500
F 0.2898 0.9099 0.4455
F 0.0901 0.7102 0.0545

Values from the calculation:
Uncorrected formation energy: -1.198 eV per atom

Entry 4:
The following is a PBE calculation of crystalline CuHg2PbF8 at its relaxed geometry, from the Alexandria database.

Unit cell a=4.1346 b=5.6491 c=7.9892 alpha=94.86 beta=88.40 gamma=93.66
Sites, in units of the cell vectors:
F 0.0525 0.6604 0.2672
F 0.5046 0.7434 0.5199
F 0.9475 0.3396 0.7328
Pb 0.0000 0.0000 0.5000
F 0.0944 0.8476 0.7861
Cu 0.0000 0.0000 0.0000
F 0.9056 0.1524 0.2139
F 0.6337 0.7621 0.0126
Hg 0.4676 0.5217 0.7609
F 0.3663 0.2379 0.9874
Hg 0.5324 0.4783 0.2391
F 0.4954 0.2566 0.4801

Values from the calculation:
Uncorrected formation energy: -1.679 eV per atom

Entry 5:
The following is a PBE calculation of crystalline CuHgPd2F at its relaxed geometry, from the Alexandria database.

Unit cell a=5.1649 b=4.2912 c=5.1649 alpha=90.00 beta=90.00 gamma=90.00
Sites, in units of the cell vectors:
F 0.0000 0.5000 0.0000
Pd 0.5000 0.0000 0.0000
Pd 0.0000 0.0000 0.5000
Hg 0.0000 0.0000 0.0000
Cu 0.5000 0.5000 0.5000

Values from the calculation:
Uncorrected formation energy: 0.624 eV per atom

Entry 6:
The following is a PBE calculation of crystalline Rb3CuHg2F9 at its relaxed geometry, from the Alexandria database.

Unit cell a=6.2804 b=6.2804 c=7.7340 alpha=90.00 beta=90.00 gamma=120.00
Sites, in units of the cell vectors:
Hg 0.6667 0.3333 0.8147
F 0.1545 0.3089 0.3494
Cu 0.0000 0.0000 0.5000
F 0.5000 0.5000 0.0000
Rb 0.0000 0.0000 0.0000
Rb 0.6667 0.3333 0.3307
F 0.8455 0.6911 0.6506
Rb 0.3333 0.6667 0.6693
F 0.5000 0.0000 0.0000
F 0.1545 0.8455 0.3494
Hg 0.3333 0.6667 0.1853
F 0.0000 0.5000 0.0000
F 0.3089 0.1545 0.6506
F 0.6911 0.8455 0.3494
F 0.8455 0.1545 0.6506

Values from the calculation:
Uncorrected formation energy: -2.009 eV per atom

Entry 7:
The following is a PBE calculation of crystalline Rb2Cu3HgF12 at its relaxed geometry, from the Alexandria database.

Unit cell a=7.2814 b=7.2814 c=7.2814 alpha=61.55 beta=61.55 gamma=61.55
Sites, in units of the cell vectors:
F 0.1068 0.6137 0.1068
F 0.8932 0.3863 0.8932
Rb 0.6157 0.6157 0.6157
Hg 0.0000 0.0000 0.0000
F 0.7051 0.0894 0.7051
F 0.8932 0.8932 0.3863
F 0.7051 0.7051 0.0894
F 0.1068 0.1068 0.6137
F 0.2949 0.9106 0.2949
F 0.3863 0.8932 0.8932
F 0.2949 0.2949 0.9106
F 0.0894 0.7051 0.7051
Cu 0.0000 0.5000 0.0000
Cu 0.5000 0.0000 0.0000
F 0.6137 0.1068 0.1068
Cu 0.0000 0.0000 0.5000
Rb 0.3843 0.3843 0.3843
F 0.9106 0.2949 0.2949

Values from the calculation:
Uncorrected formation energy: -1.795 eV per atom

Entry 8:
The following is a PBE calculation of crystalline Rb2CuHgF6 at its relaxed geometry, from the Alexandria database.

Unit cell a=6.1780 b=6.1816 c=8.7313 alpha=90.00 beta=90.00 gamma=90.00
Sites, in units of the cell vectors:
F 0.7665 0.9838 0.0000
F 0.7336 0.4830 0.5000
F 0.7664 0.5170 0.0000
F 0.2336 0.5170 0.0000
Hg 0.5000 0.2504 0.0000
Cu 0.0000 0.7504 0.0000
Cu 0.5000 0.2496 0.5000
F 0.0000 0.7503 0.7675
F 0.0000 0.7503 0.2325
Rb 0.5000 0.7503 0.2498
F 0.5000 0.2497 0.7325
F 0.2664 0.4830 0.5000
Rb 0.0000 0.2497 0.2502
F 0.2335 0.9838 0.0000
Rb 0.0000 0.2497 0.7498
F 0.2665 0.0162 0.5000
Hg 0.0000 0.7496 0.5000
F 0.7335 0.0162 0.5000
Rb 0.5000 0.7503 0.7502
F 0.5000 0.2497 0.2675

Values from the calculation:
Uncorrected formation energy: -2.029 eV per atom

Entry 9:
The following is a PBE calculation of crystalline RbCuHgF6 at its relaxed geometry, from the Alexandria database.

Unit cell a=7.5838 b=7.6074 c=7.4067 alpha=120.90 beta=120.79 gamma=90.00
Sites, in units of the cell vectors:
Hg 0.0000 0.0000 0.5000
F 0.8084 0.6088 0.2630
F 0.5378 0.7878 0.0755
Cu 0.5000 0.5000 0.0000
Hg 0.5000 0.0000 0.5000
F 0.5454 0.8458 0.7370
F 0.1916 0.3912 0.7370
Cu 0.5000 0.0000 0.0000
F 0.5454 0.3912 0.7370
F 0.4622 0.2122 0.9245
F 0.4546 0.1542 0.2630
F 0.8660 0.1160 0.7320
Rb 0.8450 0.5950 0.6900
Rb 0.1550 0.4050 0.3100
F 0.8084 0.1542 0.2630
F 0.1340 0.8840 0.2680
F 0.1916 0.8458 0.7370
F 0.4546 0.6088 0.2630

Values from the calculation:
Uncorrected formation energy: -1.764 eV per atom

Entry 10:
The following is a PBE calculation of crystalline RbCuHg2F8 at its relaxed geometry, from the Alexandria database.

Unit cell a=5.2688 b=5.5843 c=7.5581 alpha=83.85 beta=88.35 gamma=87.01
Sites, in units of the cell vectors:
Rb 0.0000 0.0000 0.5000
F 0.4227 0.2817 0.4560
Hg 0.4801 0.4922 0.7667
F 0.5773 0.7183 0.5440
F 0.3531 0.2750 0.9849
Cu 0.0000 0.0000 0.0000
F 0.6469 0.7250 0.0151
F 0.8624 0.1887 0.1604
Hg 0.5199 0.5078 0.2333
F 0.1220 0.7929 0.1828
F 0.1376 0.8113 0.8396
F 0.8780 0.2071 0.8172

Values from the calculation:
Uncorrected formation energy: -1.644 eV per atom

Entry 11:
The following is a PBE calculation of crystalline Rb4CuHg3F12 at its relaxed geometry, from the Alexandria database.

Unit cell a=7.8057 b=7.8057 c=7.8057 alpha=109.47 beta=109.47 gamma=109.47
Sites, in units of the cell vectors:
F 0.7500 0.2500 0.5000
F 0.0000 0.7683 0.7683
Hg 0.5000 0.5000 0.0000
F 0.2317 0.0000 0.2317
F 0.0000 0.2317 0.2317
Rb 0.5000 0.0000 0.0000
Hg 0.5000 0.0000 0.5000
F 0.7683 0.0000 0.7683
Cu 0.0000 0.0000 0.0000
F 0.2500 0.7500 0.5000
F 0.2317 0.2317 0.0000
Rb 0.5000 0.5000 0.5000
Rb 0.0000 0.5000 0.0000
F 0.7500 0.5000 0.2500
F 0.5000 0.7500 0.2500
Hg 0.0000 0.5000 0.5000
F 0.7683 0.7683 0.0000
Rb 0.0000 0.0000 0.5000
F 0.2500 0.5000 0.7500
F 0.5000 0.2500 0.7500

Values from the calculation:
Uncorrected formation energy: -1.986 eV per atom

Entry 12:
The following is a PBE calculation of crystalline RbCu2HgF8 at its relaxed geometry, from the Alexandria database.

Unit cell a=5.8612 b=5.8612 c=6.5334 alpha=116.65 beta=116.65 gamma=90.00
Sites, in units of the cell vectors:
F 0.5650 0.7743 0.5220
F 0.3372 0.2297 0.0161
Hg 0.0000 0.0000 0.0000
Rb 0.7500 0.2500 0.5000
Cu 0.5000 0.5000 0.0000
F 0.6789 0.7864 0.0161
F 0.9571 0.7477 0.5220
F 0.2136 0.6628 0.9839
Cu 0.2500 0.7500 0.5000
F 0.7703 0.3211 0.9839
F 0.2523 0.4350 0.4780
F 0.2257 0.0429 0.4780

Values from the calculation:
Uncorrected formation energy: -1.649 eV per atom

| no. | total DFT energy (no corrections) (eV per atom) |
| --- | --- |
| 1 | -3.9322 |
| 2 | -2.5249 |
| 3 | -3.3460 |
| 4 | -3.6274 |
| 5 | -2.7072 |
| 6 | -3.6383 |
| 7 | -3.8496 |
| 8 | -3.7852 |
| 9 | -3.6078 |
| 10 | -3.3636 |
| 11 | -3.5524 |
| 12 | -3.6855 |